The following is a PBE-GGA calculation of TlGa2Sn2 after structural relaxation, from the Alexandria database.

a = 6.654 Å, b = 6.654 Å, c = 6.654 Å
α = 136.67°, β = 136.67°, γ = 62.94°
Fractional coordinates of all 5 atoms:
Tl 0.000 0.000 0.000
Ga 0.250 0.750 0.500
Ga 0.750 0.250 0.500
Sn 0.373 0.373 0.000
Sn 0.627 0.627 0.000

Summary:
E_form = 41 meV/atom



The following is a PBE-GGA calculation of Tl5Ga2Sn5 after structural relaxation, from the Alexandria database.

a = 5.209 Å, b = 8.665 Å, c = 8.670 Å
α = 66.99°, β = 73.20°, γ = 72.72°
Fractional coordinates of all 12 atoms:
Tl 0.000 0.000 0.000
Tl 0.084 0.247 0.588
Tl 0.183 0.477 0.152
Tl 0.817 0.523 0.848
Tl 0.916 0.753 0.412
Ga 0.346 0.039 0.273
Ga 0.654 0.961 0.727
Sn 0.259 0.825 0.651
Sn 0.439 0.245 0.881
Sn 0.500 0.500 0.500
Sn 0.561 0.755 0.119
Sn 0.741 0.175 0.349

Summary:
E_form = 59 meV/atom



- Which formula does entry 1 have?
  TlGa2Sn2